1.
Density functional theory data (PBE) for crystalline Tm6CoPt at its relaxed geometry.

Cell: 6.6026 10.8116 6.6022 Å, 90.00 108.39 90.00°
Space group C2/m (No. 12)
One atom of each set of equivalent atoms:
Tm 0.2323 0.1706 0.2388
Tm 0.2485 0.5000 0.2339
Co 0.0000 0.0000 0.0000
Pt 0.0000 0.5000 0.5000

=====

2.
Density functional theory data (PBE) for crystalline Tm12Co6Pt at its relaxed geometry.

Cell: 9.3840 9.3840 9.3840 Å, 90.00 90.00 90.00°
Space group Im-3 (No. 204)
One atom of each set of equivalent atoms:
Tm 0.0000 0.1930 0.2968
Co 0.0000 0.3843 0.5000
Pt 0.0000 0.0000 0.0000

=====

3.
Density functional theory data (PBE) for crystalline Tm4CoPt at its relaxed geometry.

Output
**Offset from the most stable computed form**: 0.051 eV per atom

Cell: 14.9336 6.6478 6.6474 Å, 90.00 116.03 90.00°
Space group C2/c (No. 15)
One atom of each set of equivalent atoms:
Tm 0.1274 0.0327 0.0920
Tm 0.1280 0.4673 0.6581
Co 0.2500 0.2500 0.0000
Pt 0.0000 0.2503 0.2500

=====

4.
Density functional theory data (PBE) for crystalline Tm6CoPt2 at its relaxed geometry.

Cell: 6.4547 7.2408 11.3435 Å, 90.00 123.28 90.00°
Space group P2_1/c (No. 14)
One atom of each set of equivalent atoms:
Tm 0.1058 0.0350 0.2476
Tm 0.2314 0.6763 0.0672
Tm 0.3907 0.1822 0.0620
Co 0.5000 0.0000 0.5000
Pt 0.3066 0.1159 0.7571

=====

5.
Density functional theory data (PBE) for crystalline TmCoPt at its relaxed geometry.

Cell: 3.3787 3.3787 9.1091 Å, 90.00 90.00 90.00°
Space group P4/mmm (No. 123)
One atom of each set of equivalent atoms:
Tm 0.0000 0.0000 0.1783
Co 0.0000 0.0000 0.5000
Co 0.5000 0.5000 0.0000
Pt 0.5000 0.5000 0.3525

=====

6.
Density functional theory data (PBE) for crystalline UZnCoPt at its relaxed geometry.

Cell: 6.4778 6.4778 6.4778 Å, 90.00 90.00 90.00°
Space group F-43m (No. 216)
One atom of each set of equivalent atoms:
U 0.0000 0.0000 0.0000
Zn 0.0000 0.0000 0.5000
Co 0.2500 0.2500 0.2500
Pt 0.2500 0.2500 0.7500

=====

7.
Density functional theory data (PBE) for crystalline VCoPt at its relaxed geometry.

Output
**Offset from the most stable computed form**: 0.200 eV per atom

Cell: 4.2372 4.2372 2.6187 Å, 90.00 90.00 120.00°
Space group P-6m2 (No. 187)
One atom of each set of equivalent atoms:
V 0.0000 0.0000 0.0000
Co 0.6667 0.3333 0.5000
Pt 0.3333 0.6667 0.5000

=====

8.
Density functional theory data (PBE) for crystalline V4Co2Pt3 at its relaxed geometry.

Cell: 11.4742 3.7069 6.0027 Å, 90.00 108.58 90.00°
Space group C2/m (No. 12)
One atom of each set of equivalent atoms:
V 0.0542 0.0000 0.3226
V 0.2241 0.5000 0.3140
Co 0.1697 0.0000 0.0206
Pt 0.0000 0.5000 0.0000
Pt 0.1146 0.5000 0.6649

=====

| no. | total DFT energy (no corrections) (eV/atom) |
| --- | --- |
| 1 | -5.336 |
| 2 | -5.713 |
| 3 | -5.697 |
| 4 | -5.812 |
| 5 | -6.336 |
| 6 | -6.692 |
| 7 | -7.574 |
| 8 | -7.965 |